Below is a relaxed structure of V4Ir2Rh5, with properties calculated at the PBE level.

Cell and atoms, written as CIF:
```
data_V4Ir2Rh5
_chemical_formula_sum 'V8 Ir4 Rh10'
_cell_length_a 2.7114
_cell_length_b 6.1683
_cell_length_c 22.6384
_cell_angle_alpha 90.00
_cell_angle_beta 90.00
_cell_angle_gamma 90.00
_symmetry_space_group_name_H-M 'I m m m'
_symmetry_Int_Tables_number 71
_symmetry_space_group_name_Hall '-I 2 2'
loop_
_atom_site_label
_atom_site_type_symbol
_atom_site_fract_x
_atom_site_fract_y
_atom_site_fract_z
V1 V 0.0000 0.0000 0.2410
V2 V 0.0000 0.3456 0.0000
Ir1 Ir 0.0000 0.0000 0.0977
Rh1 Rh 0.0000 0.2864 0.1759
Rh2 Rh 0.0000 0.5000 0.5000
```

N(E_F): 1.271 states/eV per atom
E_tot: -0.28602 Ha/atom



Below is a relaxed structure of Ti5Ga6Rh, with properties calculated at the PBE level.

Cell and atoms, written as CIF:
```
data_Ti5Ga6Rh
_chemical_formula_sum 'Ti10 Ga12 Rh2'
_cell_length_a 3.9952
_cell_length_b 7.6599
_cell_length_c 12.1718
_cell_angle_alpha 90.00
_cell_angle_beta 90.00
_cell_angle_gamma 90.00
_symmetry_space_group_name_H-M 'I m m m'
_symmetry_Int_Tables_number 71
_symmetry_space_group_name_Hall '-I 2 2'
loop_
_atom_site_label
_atom_site_type_symbol
_atom_site_fract_x
_atom_site_fract_y
_atom_site_fract_z
Ti1 Ti 0.0000 0.0000 0.0000
Ti2 Ti 0.0000 0.0000 0.3303
Ti3 Ti 0.0000 0.5000 0.3394
Ga1 Ga 0.0000 0.2402 0.5000
Ga2 Ga 0.0000 0.2559 0.1663
Rh1 Rh 0.0000 0.5000 0.0000
```

N(E_F): 0.846 states/eV per atom
E_tot: -0.21565 Ha/atom



Below is a relaxed structure of LiLaRu2, with properties calculated at the PBE level.

Cell and atoms, written as CIF:
```
data_LiLaRu2
_chemical_formula_sum 'Li2 La2 Ru4'
_cell_length_a 5.3393
_cell_length_b 8.5937
_cell_length_c 3.1621
_cell_angle_alpha 90.00
_cell_angle_beta 90.00
_cell_angle_gamma 90.00
_symmetry_space_group_name_H-M 'C m m m'
_symmetry_Int_Tables_number 65
_symmetry_space_group_name_Hall '-C 2 2'
loop_
_atom_site_label
_atom_site_type_symbol
_atom_site_fract_x
_atom_site_fract_y
_atom_site_fract_z
Li1 Li 0.0000 0.0000 0.0000
La1 La 0.0000 0.5000 0.0000
Ru1 Ru 0.2500 0.2500 0.5000
```

N(E_F): 0.890 states/eV per atom
E_tot: -0.21929 Ha/atom
offset from the most stable computed form: 367.4 meV per atom



Below is a relaxed structure of Ti2ZnHRu, with properties calculated at the PBE level.

Cell and atoms, written as CIF:
```
data_Ti2ZnHRu
_chemical_formula_sum 'Ti2 Zn1 H1 Ru1'
_cell_length_a 4.6290
_cell_length_b 4.6290
_cell_length_c 4.8576
_cell_angle_alpha 90.00
_cell_angle_beta 90.00
_cell_angle_gamma 90.00
_symmetry_space_group_name_H-M 'P 4/m m m'
_symmetry_Int_Tables_number 123
_symmetry_space_group_name_Hall '-P 4 2'
loop_
_atom_site_label
_atom_site_type_symbol
_atom_site_fract_x
_atom_site_fract_y
_atom_site_fract_z
Ti1 Ti 0.0000 0.5000 0.0000
Zn1 Zn 0.0000 0.0000 0.5000
H1 H 0.5000 0.5000 0.5000
Ru1 Ru 0.0000 0.0000 0.0000
```

N(E_F): 0.858 states/eV per atom
E_tot: -0.18737 Ha/atom
offset from the most stable computed form: 1180.5 meV per atom



Below is a relaxed structure of Dy2Y2S3, with properties calculated at the PBE level.

Cell and atoms, written as CIF:
```
data_Dy2Y2S3
_chemical_formula_sum 'Dy4 Y4 S6'
_cell_length_a 12.8446
_cell_length_b 3.8670
_cell_length_c 6.6983
_cell_angle_alpha 90.00
_cell_angle_beta 100.46
_cell_angle_gamma 90.00
_symmetry_space_group_name_H-M 'C 1 2/m 1'
_symmetry_Int_Tables_number 12
loop_
_symmetry_equiv_pos_as_xyz
'x,y,z'
'-x,-y,-z'
'-x,y,-z'
'x,-y,z'
'x+1/2,y+1/2,z'
'-x+1/2,-y+1/2,-z'
'-x+1/2,y+1/2,-z'
'x+1/2,-y+1/2,z'
loop_
_atom_site_label
_atom_site_type_symbol
_atom_site_fract_x
_atom_site_fract_y
_atom_site_fract_z
Dy1 Dy 0.1251 0.0000 0.3768
Y1 Y 0.1261 0.5000 0.8739
S1 S 0.0000 0.0000 0.0000
S2 S 0.2475 0.5000 0.2493
```

N(E_F): 0.488 states/eV per atom
E_tot: -0.24416 Ha/atom
uncorrected formation energy: -11.99 eV/f.u.



Below is a relaxed structure of LuHf2Mo, with properties calculated at the PBE level.

Cell and atoms, written as CIF:
```
data_LuHf2Mo
_chemical_formula_sum 'Lu3 Hf6 Mo3'
_cell_length_a 3.2206
_cell_length_b 3.2206
_cell_length_c 30.9214
_cell_angle_alpha 90.00
_cell_angle_beta 90.00
_cell_angle_gamma 120.00
_symmetry_space_group_name_H-M 'R -3 m'
_symmetry_Int_Tables_number 166
_symmetry_space_group_name_Hall '-R 3 2"'
loop_
_atom_site_label
_atom_site_type_symbol
_atom_site_fract_x
_atom_site_fract_y
_atom_site_fract_z
Lu1 Lu 0.0000 0.0000 0.0000
Hf1 Hf 0.0000 0.0000 0.1007
Mo1 Mo 0.0000 0.0000 0.5000
```

N(E_F): 1.215 states/eV per atom
E_tot: -0.31174 Ha/atom
offset from the most stable computed form: 292.6 meV per atom



Below is a relaxed structure of NbCdH, with properties calculated at the PBE level.

Cell and atoms, written as CIF:
```
data_NbCdH
_chemical_formula_sum 'Nb2 Cd2 H2'
_cell_length_a 5.5198
_cell_length_b 2.9844
_cell_length_c 5.5632
_cell_angle_alpha 90.00
_cell_angle_beta 111.39
_cell_angle_gamma 90.00
_symmetry_space_group_name_H-M 'P 1 2/m 1'
_symmetry_Int_Tables_number 10
loop_
_symmetry_equiv_pos_as_xyz
'x,y,z'
'-x,-y,-z'
'-x,y,-z'
'x,-y,z'
loop_
_atom_site_label
_atom_site_type_symbol
_atom_site_fract_x
_atom_site_fract_y
_atom_site_fract_z
Nb1 Nb 0.0000 0.0000 0.0000
Nb2 Nb 0.0000 0.5000 0.5000
Cd1 Cd 0.5000 0.0000 0.5000
Cd2 Cd 0.5000 0.5000 0.0000
H1 H 0.1217 0.0000 0.7224
```

N(E_F): 0.474 states/eV per atom
E_tot: -0.17393 Ha/atom
offset from the most stable computed form: 55.3 meV per atom



Below is a relaxed structure of KLiZr2, with properties calculated at the PBE level.

Cell and atoms, written as CIF:
```
data_KLiZr2
_chemical_formula_sum 'K1 Li1 Zr2'
_cell_length_a 4.1579
_cell_length_b 4.1579
_cell_length_c 6.3558
_cell_angle_alpha 90.00
_cell_angle_beta 90.00
_cell_angle_gamma 90.00
_symmetry_space_group_name_H-M 'P 4/m m m'
_symmetry_Int_Tables_number 123
_symmetry_space_group_name_Hall '-P 4 2'
loop_
_atom_site_label
_atom_site_type_symbol
_atom_site_fract_x
_atom_site_fract_y
_atom_site_fract_z
K1 K 0.0000 0.0000 0.0000
Li1 Li 0.5000 0.5000 0.0000
Zr1 Zr 0.0000 0.5000 0.5000
```

N(E_F): 1.007 states/eV per atom
E_tot: -0.15662 Ha/atom
offset from the most stable computed form: 453.0 meV per atom



Below is a relaxed structure of DyAlAu, with properties calculated at the PBE level.

Cell and atoms, written as CIF:
```
data_DyAlAu
_chemical_formula_sum 'Dy6 Al6 Au6'
_cell_length_a 7.1718
_cell_length_b 4.2889
_cell_length_c 12.3355
_cell_angle_alpha 90.00
_cell_angle_beta 90.31
_cell_angle_gamma 90.00
_symmetry_space_group_name_H-M 'P 1 21/m 1'
_symmetry_Int_Tables_number 11
loop_
_symmetry_equiv_pos_as_xyz
'x,y,z'
'-x,-y,-z'
'-x,y+1/2,-z'
'x,-y+1/2,z'
loop_
_atom_site_label
_atom_site_type_symbol
_atom_site_fract_x
_atom_site_fract_y
_atom_site_fract_z
Dy1 Dy 0.0061 0.2500 0.3733
Dy2 Dy 0.1473 0.2500 0.0821
Dy3 Dy 0.4893 0.7500 0.7021
Al1 Al 0.1579 0.2500 0.7967
Al2 Al 0.3350 0.7500 0.4566
Al3 Al 0.4860 0.7500 0.0887
Au1 Au 0.2202 0.7500 0.2474
Au2 Au 0.2767 0.7500 0.9101
Au3 Au 0.2809 0.2500 0.5723
```

N(E_F): 0.591 states/eV per atom
E_tot: -0.17086 Ha/atom



Below is a relaxed structure of Th4GaGe3Rh12, with properties calculated at the PBE level.

Cell and atoms, written as CIF:
```
data_Th4GaGe3Rh12
_chemical_formula_sum 'Th8 Ga2 Ge6 Rh24'
_cell_length_a 9.2028
_cell_length_b 9.2028
_cell_length_c 9.2028
_cell_angle_alpha 90.00
_cell_angle_beta 90.00
_cell_angle_gamma 90.00
_symmetry_space_group_name_H-M 'I m -3 m'
_symmetry_Int_Tables_number 229
_symmetry_space_group_name_Hall '-I 4 2 3'
loop_
_atom_site_label
_atom_site_type_symbol
_atom_site_fract_x
_atom_site_fract_y
_atom_site_fract_z
Th1 Th 0.2500 0.2500 0.2500
Ga1 Ga 0.0000 0.0000 0.0000
Ge1 Ge 0.0000 0.0000 0.5000
Rh1 Rh 0.0000 0.0000 0.2511
Rh2 Rh 0.0000 0.2500 0.5000
```

N(E_F): 0.965 states/eV per atom
E_tot: -0.26267 Ha/atom



Below is a relaxed structure of LiReRu2, with properties calculated at the PBE level.

Cell and atoms, written as CIF:
```
data_LiReRu2
_chemical_formula_sum 'Li2 Re2 Ru4'
_cell_length_a 3.6481
_cell_length_b 3.6481
_cell_length_c 8.1660
_cell_angle_alpha 90.00
_cell_angle_beta 90.00
_cell_angle_gamma 90.00
_symmetry_space_group_name_H-M 'I -4 m 2'
_symmetry_Int_Tables_number 119
_symmetry_space_group_name_Hall 'I -4 -2'
loop_
_atom_site_label
_atom_site_type_symbol
_atom_site_fract_x
_atom_site_fract_y
_atom_site_fract_z
Li1 Li 0.0000 0.0000 0.0000
Re1 Re 0.0000 0.5000 0.7500
Ru1 Ru 0.0000 0.0000 0.5000
Ru2 Ru 0.0000 0.5000 0.2500
```

N(E_F): 0.800 states/eV per atom
E_tot: -0.29263 Ha/atom
offset from the most stable computed form: 255.0 meV per atom



Below is a relaxed structure of PaTl2RuO8, with properties calculated at the PBE level.

Cell and atoms, written as CIF:
```
data_PaTl2RuO8
_chemical_formula_sum 'Pa1 Tl2 Ru1 O8'
_cell_length_a 5.0863
_cell_length_b 6.6825
_cell_length_c 5.0864
_cell_angle_alpha 90.00
_cell_angle_beta 91.85
_cell_angle_gamma 90.00
_symmetry_space_group_name_H-M 'P 1 2/m 1'
_symmetry_Int_Tables_number 10
loop_
_symmetry_equiv_pos_as_xyz
'x,y,z'
'-x,-y,-z'
'-x,y,-z'
'x,-y,z'
loop_
_atom_site_label
_atom_site_type_symbol
_atom_site_fract_x
_atom_site_fract_y
_atom_site_fract_z
Pa1 Pa 0.0000 0.0000 0.0000
Tl1 Tl 0.5000 0.2604 0.5000
Ru1 Ru 0.0000 0.5000 0.0000
O1 O 0.1766 0.2701 0.8249
O2 O 0.2781 0.5000 0.2803
O3 O 0.2991 0.0000 0.3010
```

N(E_F): 0.206 states/eV per atom
E_tot: -0.24870 Ha/atom
uncorrected formation energy: -18.04 eV/f.u.



Question: Which formula does entry 5 have?
Answer: Dy2Y2S3



Question: What is the E_tot in the fifth record?
Answer: -0.24416 Ha/atom



Question: Look up the N(E_F) of the sixth one.
Answer: 1.215 states/eV per atom